1.
Below is crystalline GaHSe2 at its relaxed geometry, with properties calculated at the GGA-PBE level.

Summary:
Uncorrected energy: -3.6932 eV/atom
DOS(E_F): 0.12 states/eV/f.u.
Energy relative to the lowest polymorph listed for this composition: 7 meV/atom

abc: 3.8718 3.8721 7.4816
angles: 90.59 104.55 119.26
Space group P1 (No. 1)
Asymmetric unit:
Ga1 0.0000 0.0000 0.0000 [1 per cell]
H1 0.5584 0.1154 0.6692 [1 per cell]
Se1 0.7707 0.3847 0.1573 [1 per cell]
Se2 0.7826 0.8911 0.6693 [1 per cell]

=====

2.
Below is crystalline KTa2Ti at its relaxed geometry, with properties calculated at the GGA-PBE level.

Summary:
Uncorrected energy: -6.6073 eV/atom
DFT formation energy: 1567 meV/atom
DOS(E_F): 5.24 states/eV/f.u.

abc: 4.1143 4.1143 20.6360
angles: 90.00 90.00 90.00
Space group I-42d (No. 122)
Asymmetric unit:
K1 0.0000 0.0000 0.0000 [4 per cell]
Ta1 0.2239 0.2500 0.6250 [8 per cell]
Ti1 0.0000 0.0000 0.5000 [4 per cell]

=====

3.
Below is crystalline BaCaZr3 at its relaxed geometry, with properties calculated at the GGA-PBE level.

Summary:
Uncorrected energy: -4.5056 eV/atom
DFT formation energy: 1408 meV/atom
DOS(E_F): 7.13 states/eV/f.u.
Energy relative to the lowest polymorph listed for this composition: 25 meV/atom

abc: 5.4123 5.4123 5.4123
angles: 90.00 90.00 90.00
Space group Pm-3m (No. 221)
Asymmetric unit:
Ba1 0.0000 0.0000 0.0000 [1 per cell]
Ca1 0.5000 0.5000 0.5000 [1 per cell]
Zr1 0.0000 0.0000 0.5000 [3 per cell]

=====

4.
Below is crystalline DyP2H5O10 at its relaxed geometry, with properties calculated at the GGA-PBE level.

Summary:
Uncorrected energy: -6.4040 eV/atom
DOS(E_F): 0.00 states/eV/f.u.

abc: 6.4558 6.9428 9.9472
angles: 82.09 82.40 89.13
Space group P1 (No. 1)
Asymmetric unit:
Dy1 0.0000 0.0000 0.0000 [1 per cell]
Dy2 0.2682 0.4817 0.0764 [1 per cell]
P1 0.4394 0.9748 0.1071 [1 per cell]
P2 0.5692 0.5975 0.7462 [1 per cell]
P3 0.6991 0.8836 0.3302 [1 per cell]
P4 0.8289 0.5069 0.9693 [1 per cell]
H1 0.0021 0.0360 0.7009 [1 per cell]
H2 0.2642 0.4453 0.3754 [1 per cell]
H3 0.3466 0.2150 0.8024 [1 per cell]
H4 0.3924 0.9946 0.7764 [1 per cell]
H5 0.4934 0.5321 0.3235 [1 per cell]
H6 0.6203 0.9184 0.5517 [1 per cell]
H7 0.6481 0.5627 0.5248 [1 per cell]
H8 0.7734 0.9499 0.7541 [1 per cell]
H9 0.8755 0.4872 0.3001 [1 per cell]
H10 0.9216 0.2668 0.2745 [1 per cell]
O1 0.1229 0.6810 0.5402 [1 per cell]
O2 0.1536 0.8583 0.5272 [1 per cell]
O3 0.2833 0.0860 0.8088 [1 per cell]
O4 0.2966 0.1540 0.0969 [1 per cell]
O5 0.2983 0.8093 0.0817 [1 per cell]
O6 0.3756 0.4606 0.2987 [1 per cell]
O7 0.3864 0.5070 0.8445 [1 per cell]
O8 0.4835 0.9317 0.2650 [1 per cell]
O9 0.5644 0.8183 0.7056 [1 per cell]
O10 0.5957 0.4870 0.6178 [1 per cell]
O11 0.6227 0.4877 0.0605 [1 per cell]
O12 0.6455 0.9942 0.0158 [1 per cell]
O13 0.6726 0.9940 0.4585 [1 per cell]
O14 0.7036 0.6627 0.3707 [1 per cell]
O15 0.7850 0.5495 0.8112 [1 per cell]
O16 0.8821 0.9739 0.2319 [1 per cell]
O17 0.8916 0.0217 0.7782 [1 per cell]
O18 0.9700 0.6725 0.9945 [1 per cell]
O19 0.9716 0.3277 0.9798 [1 per cell]
O20 0.9849 0.3958 0.2681 [1 per cell]

=====

5.
Below is crystalline Ac2Si2Tc2C at its relaxed geometry, with properties calculated at the GGA-PBE level.

Summary:
Uncorrected energy: -7.5255 eV/atom
DOS(E_F): 4.61 states/eV/f.u.
Raw formation energy: -0.523 eV/atom

abc: 11.7455 4.2581 7.5515
angles: 90.00 128.06 90.00
Space group C2/m (No. 12)
Asymmetric unit:
Ac1 0.0597 0.0000 0.3034 [4 per cell]
Si1 0.1864 0.5000 0.7529 [4 per cell]
Tc1 0.1931 0.5000 0.0839 [4 per cell]
C1 0.0000 0.5000 0.0000 [2 per cell]

=====

6.
Below is crystalline NiPOs at its relaxed geometry, with properties calculated at the GGA-PBE level.

Summary:
Uncorrected energy: -7.4171 eV/atom
DFT formation energy: 57 meV/atom
DOS(E_F): 2.06 states/eV/f.u.

abc: 5.5937 5.5937 5.5937
angles: 90.00 90.00 90.00
Space group F-43m (No. 216)
Asymmetric unit:
Ni1 0.0000 0.0000 0.0000 [4 per cell]
P1 0.0000 0.0000 0.5000 [4 per cell]
Os1 0.2500 0.2500 0.2500 [4 per cell]

=====

7.
Below is crystalline Sm3PbO6 at its relaxed geometry, with properties calculated at the GGA-PBE level.

Summary:
Uncorrected energy: -7.5717 eV/atom
Energy relative to the lowest polymorph listed for this composition: 0 meV/atom
Raw formation energy: -2.810 eV/atom

abc: 10.0971 10.0971 11.4536
angles: 90.00 90.00 120.00
Space group R-3 (No. 148, hexagonal axes)
Asymmetric unit:
Sm1 0.0411 0.2665 0.2066 [18 per cell]
Pb1 0.0000 0.0000 0.0000 [3 per cell]
Pb2 0.0000 0.0000 0.5000 [3 per cell]
O1 0.0301 0.1826 0.8764 [18 per cell]
O2 0.0315 0.2419 0.4046 [18 per cell]

=====

8.
Below is crystalline ZrInOs at its relaxed geometry, with properties calculated at the GGA-PBE level.

Summary:
Uncorrected energy: -7.3530 eV/atom
DFT formation energy: 152 meV/atom
DOS(E_F): 1.82 states/eV/f.u.

abc: 3.2255 3.2255 6.7623
angles: 90.00 90.00 120.00
Space group P3m1 (No. 156)
Asymmetric unit:
Zr1 0.0000 0.0000 0.0000 [1 per cell]
In1 0.6667 0.3333 0.3854 [1 per cell]
Os1 0.3333 0.6667 0.7178 [1 per cell]